Arrangement P

# FeCoC2, optimized geometry, DFT PBE
# - crystal system = cubic
data_FeCoC2
_cell_length_a 4.959
_cell_length_b 4.959
_cell_length_c 4.959
_cell_angle_alpha 90.00
_cell_angle_beta 90.00
_cell_angle_gamma 90.00
_symmetry_space_group_name_H-M 'F m -3 m'
_symmetry_Int_Tables_number 225
_symmetry_space_group_name_Hall '-F 4 2 3'
loop_
_atom_site_label
_atom_site_type_symbol
_atom_site_fract_x
_atom_site_fract_y
_atom_site_fract_z
_atom_site_occupancy
Fe1 Fe 0.000 0.000 0.000 1
Co1 Co 0.000 0.000 0.500 1
C1 C 0.250 0.250 0.250 1


Arrangement Q

# FeCoC2, optimized geometry, DFT PBE
# - crystal system = tetragonal
data_FeCoC2
_cell_length_a 4.271
_cell_length_b 4.271
_cell_length_c 8.509
_cell_angle_alpha 90.00
_cell_angle_beta 90.00
_cell_angle_gamma 90.00
_symmetry_space_group_name_H-M 'I -4 2 d'
_symmetry_Int_Tables_number 122
_symmetry_space_group_name_Hall 'I -4 2bw'
loop_
_atom_site_label
_atom_site_type_symbol
_atom_site_fract_x
_atom_site_fract_y
_atom_site_fract_z
_atom_site_occupancy
Fe1 Fe 0.000 0.000 0.000 1
Co1 Co 0.000 0.000 0.500 1
C1 C 0.245 0.250 0.125 1


What is the stability order? It is arrangement Q, arrangement P, from most stable to least stable.


Arrangement P

# FeCo2NiC, optimized geometry, DFT PBE
# - crystal system = tetragonal
data_FeCo2NiC
_cell_length_a 3.764
_cell_length_b 3.764
_cell_length_c 3.730
_cell_angle_alpha 90.00
_cell_angle_beta 90.00
_cell_angle_gamma 90.00
_symmetry_space_group_name_H-M 'P 4/m m m'
_symmetry_Int_Tables_number 123
_symmetry_space_group_name_Hall '-P 4 2'
loop_
_atom_site_label
_atom_site_type_symbol
_atom_site_fract_x
_atom_site_fract_y
_atom_site_fract_z
_atom_site_occupancy
Fe1 Fe 0.000 0.000 0.000 1
Co1 Co 0.000 0.500 0.500 1
Ni1 Ni 0.500 0.500 0.000 1
C1 C 0.500 0.500 0.500 1


Arrangement Q

# FeCo2NiC, optimized geometry, DFT PBE
# - crystal system = tetragonal
data_FeCo2NiC
_cell_length_a 3.696
_cell_length_b 3.696
_cell_length_c 3.799
_cell_angle_alpha 90.00
_cell_angle_beta 90.00
_cell_angle_gamma 90.00
_symmetry_space_group_name_H-M 'P 4/m m m'
_symmetry_Int_Tables_number 123
_symmetry_space_group_name_Hall '-P 4 2'
loop_
_atom_site_label
_atom_site_type_symbol
_atom_site_fract_x
_atom_site_fract_y
_atom_site_fract_z
_atom_site_occupancy
Fe1 Fe 0.000 0.000 0.000 1
Co1 Co 0.000 0.500 0.500 1
Ni1 Ni 0.500 0.500 0.000 1
C1 C 0.000 0.000 0.500 1


What is the stability order? It is arrangement P, arrangement Q, from most stable to least stable.


Arrangement P

# Fe2CoRhC, optimized geometry, DFT PBE
# - crystal system = tetragonal
data_Fe2CoRhC
_cell_length_a 3.861
_cell_length_b 3.861
_cell_length_c 3.731
_cell_angle_alpha 90.00
_cell_angle_beta 90.00
_cell_angle_gamma 90.00
_symmetry_space_group_name_H-M 'P 4/m m m'
_symmetry_Int_Tables_number 123
_symmetry_space_group_name_Hall '-P 4 2'
loop_
_atom_site_label
_atom_site_type_symbol
_atom_site_fract_x
_atom_site_fract_y
_atom_site_fract_z
_atom_site_occupancy
Fe1 Fe 0.000 0.500 0.000 1
Co1 Co 0.000 0.000 0.500 1
Rh1 Rh 0.500 0.500 0.500 1
C1 C 0.000 0.000 0.000 1


Arrangement Q

# Fe2CoRhC, optimized geometry, DFT PBE
# - crystal system = tetragonal
data_Fe2CoRhC
_cell_length_a 4.282
_cell_length_b 4.282
_cell_length_c 4.437
_cell_angle_alpha 90.00
_cell_angle_beta 90.00
_cell_angle_gamma 90.00
_symmetry_space_group_name_H-M 'P 4/m m m'
_symmetry_Int_Tables_number 123
_symmetry_space_group_name_Hall '-P 4 2'
loop_
_atom_site_label
_atom_site_type_symbol
_atom_site_fract_x
_atom_site_fract_y
_atom_site_fract_z
_atom_site_occupancy
Fe1 Fe 0.000 0.500 0.000 1
Co1 Co 0.000 0.000 0.000 1
Rh1 Rh 0.000 0.000 0.500 1
C1 C 0.500 0.500 0.500 1


What is the stability order? It is arrangement P, arrangement Q, from most stable to least stable.


Arrangement P

# ScFeCo2C, optimized geometry, DFT PBE
# - crystal system = tetragonal
data_ScFeCo2C
_cell_length_a 4.146
_cell_length_b 4.146
_cell_length_c 4.766
_cell_angle_alpha 90.00
_cell_angle_beta 90.00
_cell_angle_gamma 90.00
_symmetry_space_group_name_H-M 'P 4/m m m'
_symmetry_Int_Tables_number 123
_symmetry_space_group_name_Hall '-P 4 2'
loop_
_atom_site_label
_atom_site_type_symbol
_atom_site_fract_x
_atom_site_fract_y
_atom_site_fract_z
_atom_site_occupancy
Sc1 Sc 0.000 0.000 0.000 1
Fe1 Fe 0.000 0.000 0.500 1
Co1 Co 0.000 0.500 0.500 1
C1 C 0.500 0.500 0.000 1


Arrangement Q

# ScFeCo2C, optimized geometry, DFT PBE
# - crystal system = tetragonal
data_ScFeCo2C
_cell_length_a 3.811
_cell_length_b 3.811
_cell_length_c 3.830
_cell_angle_alpha 90.00
_cell_angle_beta 90.00
_cell_angle_gamma 90.00
_symmetry_space_group_name_H-M 'P 4/m m m'
_symmetry_Int_Tables_number 123
_symmetry_space_group_name_Hall '-P 4 2'
loop_
_atom_site_label
_atom_site_type_symbol
_atom_site_fract_x
_atom_site_fract_y
_atom_site_fract_z
_atom_site_occupancy
Sc1 Sc 0.000 0.000 0.000 1
Fe1 Fe 0.500 0.500 0.000 1
Co1 Co 0.000 0.500 0.500 1
C1 C 0.500 0.500 0.500 1


What is the stability order? It is arrangement Q, arrangement P, from most stable to least stable.


Arrangement P

# GaCoC3, optimized geometry, DFT PBE
# - crystal system = cubic
data_GaCoC3
_cell_length_a 3.780
_cell_length_b 3.780
_cell_length_c 3.780
_cell_angle_alpha 90.00
_cell_angle_beta 90.00
_cell_angle_gamma 90.00
_symmetry_space_group_name_H-M 'P m -3 m'
_symmetry_Int_Tables_number 221
_symmetry_space_group_name_Hall '-P 4 2 3'
loop_
_atom_site_label
_atom_site_type_symbol
_atom_site_fract_x
_atom_site_fract_y
_atom_site_fract_z
_atom_site_occupancy
Ga1 Ga 0.000 0.000 0.000 1
Co1 Co 0.500 0.500 0.500 1
C1 C 0.000 0.500 0.500 1


Arrangement Q

# GaCoC3, optimized geometry, DFT PBE
# - crystal system = cubic
data_GaCoC3
_cell_length_a 3.909
_cell_length_b 3.909
_cell_length_c 3.909
_cell_angle_alpha 90.00
_cell_angle_beta 90.00
_cell_angle_gamma 90.00
_symmetry_space_group_name_H-M 'P m -3 m'
_symmetry_Int_Tables_number 221
_symmetry_space_group_name_Hall '-P 4 2 3'
loop_
_atom_site_label
_atom_site_type_symbol
_atom_site_fract_x
_atom_site_fract_y
_atom_site_fract_z
_atom_site_occupancy
Ga1 Ga 0.000 0.000 0.000 1
Co1 Co 0.500 0.500 0.500 1
C1 C 0.000 0.000 0.500 1


What is the stability order? It is arrangement P, arrangement Q, from most stable to least stable.


Arrangement P

# ScGaCo2C, optimized geometry, DFT PBE
# - crystal system = orthorhombic
data_ScGaCo2C
_cell_length_a 3.571
_cell_length_b 10.578
_cell_length_c 6.847
_cell_angle_alpha 90.00
_cell_angle_beta 90.00
_cell_angle_gamma 90.00
_symmetry_space_group_name_H-M 'C m c m'
_symmetry_Int_Tables_number 63
_symmetry_space_group_name_Hall '-C 2c 2'
loop_
_atom_site_label
_atom_site_type_symbol
_atom_site_fract_x
_atom_site_fract_y
_atom_site_fract_z
_atom_site_occupancy
Sc1 Sc 0.000 0.040 0.250 1
Ga1 Ga 0.000 0.238 0.750 1
Co1 Co 0.000 0.341 0.057 1
C1 C 0.000 0.500 0.000 1


Arrangement Q

# ScGaCo2C, optimized geometry, DFT PBE
# - crystal system = tetragonal
data_ScGaCo2C
_cell_length_a 3.851
_cell_length_b 3.851
_cell_length_c 4.346
_cell_angle_alpha 90.00
_cell_angle_beta 90.00
_cell_angle_gamma 90.00
_symmetry_space_group_name_H-M 'P 4/m m m'
_symmetry_Int_Tables_number 123
_symmetry_space_group_name_Hall '-P 4 2'
loop_
_atom_site_label
_atom_site_type_symbol
_atom_site_fract_x
_atom_site_fract_y
_atom_site_fract_z
_atom_site_occupancy
Sc1 Sc 0.000 0.000 0.000 1
Ga1 Ga 0.500 0.500 0.000 1
Co1 Co 0.000 0.500 0.500 1
C1 C 0.000 0.000 0.500 1


What is the stability order? It is arrangement P, arrangement Q, from most stable to least stable.